A plane-wave DFT calculation with GGA-PBE was carried out for an optimized crystal structure of Zr2CrP.

Total magnetic moment ... 0.0000 μB per atom
Energy of formation from the pure elements ... -0.90 eV per formula unit
VASP energy ... -8.26 eV/atom

a b c (Å): 3.7011 5.0300 7.6038
angles (deg): 90.00 90.00 90.00
Last column: nearest neighbours and their distance in Å.
Space group Cmmm (No. 65)
Unique sites:
Zr1 0.0000 0.0000 0.2426 [4 per cell]  2 P 2.61, 2 Cr 2.69
Cr1 0.0000 0.5000 0.5000 [2 per cell]  4 Zr 2.69
P1 0.0000 0.5000 0.0000 [2 per cell]  4 Zr 2.61